Entry 1:
Here is Nb6VGa after structural relaxation from Alexandria via LeMat-Bulk. Energies are from PBE.

Spin magnetization: 0.00 μB per cell
Crystal system: trigonal
DFT formation energy: -113 meV per atom

Cell lengths 7.338, 7.345, 5.190 Å; angles 44.97, 45.03, 60.02 degrees
Fractional coordinates of all 8 atoms:
1 V 0.000 0.000 0.000
2 Nb 0.246 0.000 0.254
3 Nb 0.754 0.000 0.746
4 Nb 0.500 0.755 0.746
5 Nb 0.001 0.500 0.254
6 Nb 0.500 0.245 0.254
7 Nb 0.999 0.500 0.746
8 Ga 0.500 0.500 0.500



Entry 2:
Here is NbGa2W after structural relaxation from Alexandria via LeMat-Bulk. Energies are from PBE.

Spin magnetization: 0.00 μB per cell
Crystal system: tetragonal
DFT formation energy: 376 meV per atom

Cell lengths 7.063, 7.063, 5.716 Å; angles 51.84, 51.84, 90.00 degrees
Fractional coordinates of all 8 atoms:
1 Nb 0.500 0.500 0.000
2 Nb 0.250 0.750 0.500
3 Ga 0.632 0.125 0.250
4 Ga 0.875 0.882 0.750
5 Ga 0.118 0.625 0.250
6 Ga 0.375 0.368 0.750
7 W 0.000 0.000 0.000
8 W 0.750 0.250 0.500



Entry 3:
Here is Nb2GaW after structural relaxation from Alexandria via LeMat-Bulk. Energies are from PBE.

Spin magnetization: 0.00 μB per cell
Crystal system: trigonal
DFT formation energy: 130 meV per atom

Cell lengths 3.118, 3.118, 8.676 Å; angles 79.65, 79.65, 60.00 degrees
Fractional coordinates of all 4 atoms:
1 Nb 0.747 0.747 0.758
2 Nb 0.253 0.253 0.242
3 W 0.000 0.000 0.000
4 Ga 0.500 0.500 0.500



Entry 4:
Here is NbGaW2 after structural relaxation from Alexandria via LeMat-Bulk. Energies are from PBE.

Spin magnetization: 0.00 μB per cell
Crystal system: tetragonal
DFT formation energy: 877 meV per atom

Cell lengths 7.278, 7.278, 5.801 Å; angles 51.15, 51.15, 90.00 degrees
Fractional coordinates of all 8 atoms:
1 W 0.608 0.125 0.250
2 W 0.142 0.625 0.250
3 W 0.375 0.392 0.750
4 W 0.875 0.858 0.750
5 Ga 0.500 0.500 0.000
6 Ga 0.250 0.750 0.500
7 Nb 0.000 0.000 0.000
8 Nb 0.750 0.250 0.500



Which of these has the highest DFT formation energy?
NbGaW2



The highest DFT formation energy belongs to which entry?
NbGaW2